Below is crystalline CoSn2Mo at its relaxed geometry, with properties calculated at the PBE-GGA level.

The structure in POSCAR format:
```
CoSn2Mo
1.0
-2.688 -0.917 -1.277
-0.772 -3.017 -0.007
-5.501 -0.219 7.939
Sn Mo Co
2 1 1
Cartesian
-4.612 -3.644 0.932
-4.349 -0.508 5.723
-4.480 -2.076 3.327
0.000 0.000 0.000
```

Computed properties:
Fermi-level density of states ... 7.733 states/eV per cell
Total DFT energy (no corrections) ... -5.86 eV/atom
Calculated formation energy ... 2.485 eV per formula unit


Below is crystalline Th4GaSb2Se at its relaxed geometry, with properties calculated at the PBE-GGA level.

The structure in POSCAR format:
```
Th4GaSb2Se
1.0
-1.712 -0.454 4.014
3.141 -7.025 0.544
6.863 0.567 2.991
Th Sb Ga Se
4 2 1 1
Cartesian
7.461 -4.703 2.649
0.831 -2.209 4.900
5.070 -1.707 4.366
3.222 -5.205 3.182
6.863 0.567 2.991
2.576 0.056 3.502
5.002 -3.229 1.767
7.578 -3.173 5.270
```

Computed properties:
Fermi-level density of states ... 5.253 states/eV per cell
Total DFT energy (no corrections) ... -6.51 eV/atom
Raw formation energy ... -0.951 eV/atom